In2RuCl, relaxed, DFT PBE; ΔE_f (raw) = -0.06 eV per atom; E above lowest polymorph = 0.230 eV/atom; D(E_F) = 1.88 states/eV/f.u.
1.0
-6.5204 -5.2732 -0.0365
-2.6148 -7.9094 -0.9636
4.7922 6.2561 2.8671
Cl In Ru
1 2 1
direct
0.2949 0.7949 0.5000
0.9743 0.9743 0.0000
0.6806 0.1806 0.5000
0.5503 0.5503 0.0000